(1)
An optimized crystal structure of CsCd2Ga10, computed with GGA-PBE.

The structure in POSCAR format:
```
CsCd2Ga10
1.0
-1.738 0.320 5.622
-7.581 -1.398 0.825
0.455 -6.556 3.603
Cd Ga Cs
2 10 1
Cartesian
0.228 -3.278 1.801
-0.641 -3.118 4.613
-2.347 -5.274 5.752
-6.653 -5.912 7.546
-4.230 -4.426 8.211
-3.745 -2.640 5.170
-5.119 -4.994 4.880
-6.516 -2.360 4.298
-4.633 -3.208 1.839
-4.659 -0.539 3.224
-3.790 -0.699 0.413
-2.210 -1.722 2.504
0.000 0.000 0.000
```

Calculated values
The value obtained for the total energy is -2.510 eV per atom. As for the space group: Fmmm, No. 69. The magnetic moment is 0.0 μB per formula unit.



(2)
An optimized crystal structure of Cs2Cd5Ga, computed with GGA-PBE.

The structure in POSCAR format:
```
Cs2Cd5Ga
1.0
-0.103 -6.482 1.734
6.334 -0.670 -2.114
5.293 -1.996 5.839
Cd Ga Cs
5 1 2
Cartesian
4.830 -5.280 0.103
3.813 -3.072 1.741
1.630 -4.940 1.169
4.878 -2.008 -0.773
1.683 -1.671 0.291
4.917 -2.269 4.799
7.533 -3.000 2.217
4.313 -5.909 4.142
```

Calculated values
The value obtained for the total energy is -1.173 eV per atom. As for the space group: I4mm, No. 107. The magnetic moment is 0.0 μB per formula unit.



(3)
An optimized crystal structure of Cs2Cd3Ga, computed with GGA-PBE.

The structure in POSCAR format:
```
Cs2Cd3Ga
1.0
9.022 -0.310 -0.221
0.790 7.549 -0.425
0.790 2.064 7.273
Cd Cs Ga
6 4 2
Cartesian
7.556 5.738 1.625
9.913 7.395 1.072
3.045 3.565 5.003
0.688 1.908 5.555
5.402 3.584 6.749
5.199 5.719 -0.122
4.201 6.986 3.638
8.712 5.566 5.303
6.400 2.317 2.989
1.890 3.737 1.324
7.556 1.929 6.971
3.045 7.373 -0.343
```

Calculated values
The value obtained for the total energy is -1.249 eV per atom. As for the space group: C2/c, No. 15. The magnetic moment is 0.0 μB per formula unit.



(4)
An optimized crystal structure of Cs2CdGa2, computed with GGA-PBE.

The structure in POSCAR format:
```
Cs2CdGa2
1.0
-5.524 1.676 5.174
0.648 -7.120 2.998
4.346 2.067 3.970
Cs Cd Ga
4 2 4
Cartesian
1.570 -3.560 5.037
-2.100 0.184 7.106
0.584 0.200 4.159
-1.114 -3.577 7.984
-2.438 -2.722 4.086
0.000 0.000 0.000
-0.395 -2.535 1.752
-3.330 0.204 3.539
-1.546 -5.648 4.633
-4.481 -2.908 6.420
```

Calculated values
The value obtained for the total energy is -1.629 eV per atom. As for the space group: P4/mbm, No. 127. The magnetic moment is 0.0 μB per formula unit.